Entry 1:
Material: Ce2MgUN4
Method: DFT, GGA-PBE
State: optimized geometry

Geometry as POSCAR:
```
Ce2MgUN4
1.0
5.720 0.000 0.000
0.000 3.474 0.000
-1.861 0.000 5.770
Ce Mg U N
2 1 1 4
Direct
0.000 0.000 0.000
0.500 0.500 0.000
0.000 0.500 0.500
0.500 0.000 0.500
0.261 0.000 0.722
0.267 0.500 0.284
0.733 0.500 0.716
0.739 0.000 0.278
```

Properties
- V: 114.7 Å³ per cell
- Size of the total moment: 0.62 μB/f.u.
- Energy: -68.14 eV for the cell shown
- Formation energy without anion corrections: -1.2609 eV/atom



Entry 2:
Material: BaBe4Ir
Method: DFT, GGA-PBE
State: optimized geometry

Geometry as POSCAR:
```
BaBe4Ir
1.0
0.000 3.494 3.494
3.494 0.000 3.494
3.494 3.494 0.000
Ba Be Ir
1 4 1
Direct
0.000 0.000 0.000
0.145 0.618 0.618
0.618 0.145 0.618
0.618 0.618 0.145
0.618 0.618 0.618
0.250 0.250 0.250
```

Properties
- V: 85.3 Å³ per cell
- Size of the total moment: 0.00 μB/f.u.
- Energy: -22.81 eV for the cell shown
- Energy of formation: 479 meV per atom



Entry 3:
Material: InSbW
Method: DFT, GGA-PBE
State: optimized geometry

Geometry as POSCAR:
```
InSbW
1.0
0.000 3.292 3.292
3.292 0.000 3.292
3.292 3.292 0.000
In Sb W
1 1 1
Direct
0.000 0.000 0.000
0.500 0.500 0.500
0.250 0.250 0.250
```

Properties
- V: 71.3 Å³ per cell
- Size of the total moment: 0.48 μB/f.u.
- Offset from the most stable computed form: 358.9 meV per atom
- Energy: -17.34 eV for the cell shown
- Formation energy without anion corrections: 0.8256 eV/atom



Entry 4:
Material: MnCdSb
Method: DFT, GGA-PBE
State: optimized geometry

Geometry as POSCAR:
```
MnCdSb
1.0
3.254 0.000 0.000
-1.627 2.818 0.000
0.000 0.000 7.022
Mn Cd Sb
1 1 1
Direct
0.000 0.000 0.000
0.667 0.333 0.695
0.333 0.667 0.292
```

Properties
- V: 64.4 Å³ per cell
- Size of the total moment: 3.40 μB/f.u.
- Offset from the most stable computed form: 144.3 meV per atom
- Energy: -13.39 eV for the cell shown
- Formation energy without anion corrections: 0.2711 eV/atom